# Cs5NdTe4

A relaxed Cs5NdTe4 crystal (PBE, the Alexandria database).

a b c (Å): 5.2192 9.7267 11.7875
angles (deg): 114.34 102.79 90.00
Closest atoms and distances in Å follow each position.
Sites, in units of the cell vectors:
Cs 0.1714 0.9111 0.3428  3 Te 3.60-3.63
Cs 0.5000 0.5000 0.0000  4 Te 3.81
Cs 0.8282 0.5719 0.6565  3 Te 3.60-3.63
Cs 0.1718 0.4281 0.3435  3 Te 3.60-3.63
Cs 0.8286 0.0889 0.6572  3 Te 3.60-3.63
Nd 0.5000 0.0000 0.0000  6 Te 3.33-3.34
Te 0.6598 0.1582 0.3196  1 Nd 3.33, 4 Cs 3.63
Te 0.9998 0.7856 0.9995  2 Nd 3.34, 2 Cs 3.60
Te 0.3402 0.8418 0.6804  1 Nd 3.33, 4 Cs 3.63
Te 0.0002 0.2144 0.0005  2 Nd 3.34, 2 Cs 3.60

Summary:
**Energy relative to the elements, uncorrected**: -1052.7 meV/atom
**Space-group type**: C2/m (12)

=====

# Tb2Pm2Tl3

A relaxed Tb2Pm2Tl3 crystal (PBE, the Alexandria database).

a b c (Å): 3.5650 3.5832 16.3782
angles (deg): 90.00 83.75 90.00
Closest atoms and distances in Å follow each position.
Sites, in units of the cell vectors:
Tb 0.7023 0.5000 0.5955  4 Tl 3.28, 6 Tb 3.56-3.58
Tb 0.2977 0.5000 0.4045  4 Tl 3.28, 6 Tb 3.56-3.58
Tl 0.8618 0.0000 0.2763  4 Tb 3.28, 4 Pm 3.39, 4 Tl 3.56-3.58
Tl 0.0000 0.0000 0.0000  8 Pm 3.38, 4 Tl 3.56-3.58
Tl 0.1382 0.0000 0.7237  4 Tb 3.28, 4 Pm 3.39, 4 Tl 3.56-3.58
Pm 0.4310 0.5000 0.1379  8 Tl 3.38-3.39, 4 Pm 3.56-3.58
Pm 0.5690 0.5000 0.8621  8 Tl 3.38-3.39, 4 Pm 3.56-3.58

Summary:
**Raw total energy**: -27.5 eV for the cell shown
**DOS at the Fermi energy**: 0.968 states/eV/atom
**Space-group type**: Cmmm (65)

=====

# ScPtSe2

A relaxed ScPtSe2 crystal (PBE, the Alexandria database).

a b c (Å): 3.5598 3.7054 6.6028
angles (deg): 69.74 90.00 90.00
Closest atoms and distances in Å follow each position.
Sites, in units of the cell vectors:
Pt 0.5000 0.2500 0.2500  4 Se 2.52
Se 0.0000 0.3076 0.5076  2 Pt 2.52, 2 Sc 2.78
Se 0.0000 0.1924 0.9924  2 Pt 2.52, 2 Sc 2.78
Sc 0.5000 0.7500 0.7500  4 Se 2.78

Summary:
**DOS at the Fermi energy**: 0.588 states/eV/atom
**Energy relative to the elements, uncorrected**: -769.6 meV/atom
**Space-group type**: P2/m (10)

=====

# LiAu2C

A relaxed LiAu2C crystal (PBE, the Alexandria database).

a b c (Å): 5.3333 5.3333 7.3568
angles (deg): 68.75 68.75 90.00
Closest atoms and distances in Å follow each position.
Sites, in units of the cell vectors:
C 0.0000 0.0000 0.0000  4 Au 2.07
C 0.7500 0.2500 0.5000  4 Au 2.07
Au 0.3750 0.1254 0.7500  2 C 2.07
Au 0.8754 0.6250 0.2500  2 C 2.07
Au 0.8746 0.1250 0.2500  2 C 2.07
Au 0.8750 0.1246 0.7500  2 C 2.07
Li 0.2500 0.7500 0.5000  8 Au 3.37-3.38, 4 C 3.77
Li 0.5000 0.5000 0.0000  8 Au 3.37-3.38, 4 C 3.77

Summary:
**Raw total energy**: -30.4 eV for the cell shown
**DOS at the Fermi energy**: 0.334 states/eV/atom
**Space-group type**: I4_1/amd (141)

=====

# AcSmAg2Ge2

A relaxed AcSmAg2Ge2 crystal (PBE, the Alexandria database).

a b c (Å): 4.5867 4.5867 8.0260
angles (deg): 90.00 90.00 120.00
Closest atoms and distances in Å follow each position.
Sites, in units of the cell vectors:
Ge 0.3333 0.6667 0.2663  3 Ag 2.65
Ge 0.6667 0.3333 0.7337  3 Ag 2.65
Sm 0.0000 0.0000 0.5000  6 Ag 3.18, 6 Ge 3.25
Ag 0.3333 0.6667 0.7193  3 Ge 2.65
Ag 0.6667 0.3333 0.2807  3 Ge 2.65
Ac 0.0000 0.0000 0.0000  6 Ge 3.40, 6 Ag 3.48

Summary:
**Raw total energy**: -27.3 eV for the cell shown
**DOS at the Fermi energy**: 0.188 states/eV/atom
**Space-group type**: P-3m1 (164)

=====

# Hf3AlH3

A relaxed Hf3AlH3 crystal (PBE, the Alexandria database).

a b c (Å): 5.5858 5.5858 7.8040
angles (deg): 69.03 69.03 60.00
Closest atoms and distances in Å follow each position.
Sites, in units of the cell vectors:
H 0.1382 0.4782 0.5836  4 Hf 2.05-2.06, 3 H 2.20-2.23
H 0.4782 0.8001 0.5836  4 Hf 2.05-2.06, 3 H 2.20-2.23
H 0.8001 0.1382 0.5836  4 Hf 2.05-2.06, 3 H 2.20-2.23
H 0.1999 0.8618 0.4164  4 Hf 2.05-2.06, 3 H 2.20-2.23
H 0.5218 0.1999 0.4164  4 Hf 2.05-2.06, 3 H 2.20-2.23
H 0.8618 0.5218 0.4164  4 Hf 2.05-2.06, 3 H 2.20-2.23
Al 0.3333 0.3333 0.0001  6 Hf 2.81
Al 0.6667 0.6667 0.9999  6 Hf 2.81
Hf 0.7696 0.4269 0.7048  4 H 2.05-2.06
Hf 0.4269 0.0986 0.7048  4 H 2.05-2.06
Hf 0.9014 0.2304 0.2952  4 H 2.05-2.06
Hf 0.5731 0.9014 0.2952  4 H 2.05-2.06
Hf 0.2304 0.5731 0.2952  4 H 2.05-2.06
Hf 0.0986 0.7696 0.7048  4 H 2.05-2.06

Summary:
**Raw total energy**: -90.4 eV for the cell shown
**DOS at the Fermi energy**: 0.359 states/eV/atom
**Space-group type**: R-3 (148)

=====

# SmScAl2

A relaxed SmScAl2 crystal (PBE, the Alexandria database).

a b c (Å): 3.4449 3.4449 9.4816
angles (deg): 79.53 79.53 60.00
Closest atoms and distances in Å follow each position.
Sites, in units of the cell vectors:
Sm 0.5000 0.5000 0.5000  6 Al 3.16, 6 Sm 3.44
Sc 0.0000 0.0000 0.0000  6 Al 2.95
Al 0.2552 0.2552 0.2344  3 Sc 2.95, 3 Sm 3.16
Al 0.7448 0.7448 0.7656  3 Sc 2.95, 3 Sm 3.16

Summary:
**Raw total energy**: -19.1 eV for the cell shown
**DOS at the Fermi energy**: 0.679 states/eV/atom
**Space-group type**: R-3m (166)

=====

# LaPu5Se8

A relaxed LaPu5Se8 crystal (PBE, the Alexandria database).

a b c (Å): 7.6340 7.6340 7.6340
angles (deg): 109.45 109.51 109.45
Closest atoms and distances in Å follow each position.
Sites, in units of the cell vectors:
Se 0.4797 0.6035 0.2308  5 Pu 2.94-3.16, 1 La 3.16
Se 0.6273 0.3965 0.8763  5 Pu 2.94-3.16, 1 La 3.16
Se 0.1215 0.7527 0.0270  5 Pu 2.96-3.13, 1 La 3.01, 1 Se 3.30
Se 0.7692 0.2490 0.3727  5 Pu 2.94-3.16, 1 La 3.16
Se 0.6312 0.9055 0.8785  5 Pu 2.96-3.13, 1 La 3.01, 1 Se 3.30
Se 0.1237 0.7510 0.5203  5 Pu 2.94-3.16, 1 La 3.16
Se 0.2743 0.2473 0.3688  5 Pu 2.96-3.13, 1 La 3.01, 1 Se 3.30
Se 0.9730 0.0945 0.7257  5 Pu 2.96-3.13, 1 La 3.01, 1 Se 3.30
La 0.2500 0.5000 0.7500  8 Se 3.01-3.16
Pu 0.5000 0.0000 0.5000  8 Se 2.96-3.13
Pu 0.3747 0.1234 0.9995  8 Se 2.94-3.16
Pu 0.7487 0.6248 0.6253  8 Se 2.94-3.16
Pu 0.0005 0.3752 0.1239  8 Se 2.94-3.16
Pu 0.8761 0.8766 0.2513  8 Se 2.94-3.16

Summary:
**DOS at the Fermi energy**: 2.786 states/eV/atom
**Energy relative to the elements, uncorrected**: -1639.7 meV/atom
**Space-group type**: I-4 (82)

=====

# Na7In2Hg2

A relaxed Na7In2Hg2 crystal (PBE, the Alexandria database).

a b c (Å): 6.2542 6.2542 8.2949
angles (deg): 99.19 99.19 93.35
Closest atoms and distances in Å follow each position.
Sites, in units of the cell vectors:
Hg 0.6230 0.6230 0.8473  8 Na 3.19-3.25, 2 In 3.23
Hg 0.3770 0.3770 0.1527  8 Na 3.19-3.25, 2 In 3.23
Na 0.8930 0.5170 0.1886  3 Hg 3.24-3.25, 2 In 3.42-3.45, 5 Na 3.42-3.62
Na 0.8470 0.8470 0.5801  4 Na 3.21-3.51, 1 Hg 3.25, 4 In 3.29-3.39
Na 0.1530 0.1530 0.4199  4 Na 3.21-3.51, 1 Hg 3.25, 4 In 3.29-3.39
Na 0.5170 0.8930 0.1886  3 Hg 3.24-3.25, 2 In 3.42-3.45, 5 Na 3.42-3.62
Na 0.0000 0.0000 0.0000  2 Hg 3.19, 6 Na 3.42-3.51
Na 0.4830 0.1070 0.8114  3 Hg 3.24-3.25, 2 In 3.42-3.45, 5 Na 3.42-3.62
Na 0.1070 0.4830 0.8114  3 Hg 3.24-3.25, 2 In 3.42-3.45, 5 Na 3.42-3.62
In 0.6715 0.3285 0.5000  1 In 3.12, 2 Hg 3.23, 8 Na 3.29-3.45
In 0.3285 0.6715 0.5000  1 In 3.12, 2 Hg 3.23, 8 Na 3.29-3.45

Summary:
**Raw total energy**: -16.7 eV for the cell shown
**DOS at the Fermi energy**: 0.332 states/eV/atom
**Space-group type**: C2/m (12)

=====

# La2MoW

A relaxed La2MoW crystal (PBE, the Alexandria database).

a b c (Å): 5.4050 4.0707 4.0707
angles (deg): 90.00 90.00 90.00
Closest atoms and distances in Å follow each position.
Sites, in units of the cell vectors:
La 0.0000 0.5000 0.5000  4 La 2.88
La 0.0000 0.0000 0.0000  4 La 2.88
W 0.5000 0.0000 0.5000  4 Mo 2.88
Mo 0.5000 0.5000 0.0000  4 W 2.88

Summary:
**Raw total energy**: -30.2 eV for the cell shown
**DOS at the Fermi energy**: 1.065 states/eV/atom
**Space-group type**: P4/mmm (123)

=====

# B2C3

A relaxed B2C3 crystal (PBE, the Alexandria database).

a b c (Å): 12.1603 12.1603 12.1603
angles (deg): 12.53 12.53 12.53
Closest atoms and distances in Å follow each position.
Sites, in units of the cell vectors:
C 0.4394 0.4394 0.4394  4 B 1.54-1.68
C 0.0412 0.0412 0.0412  1 C 1.48
C 0.0001 0.0001 0.0001  4 C 1.48-1.63
C 0.6513 0.6513 0.6513  1 B 1.59, 3 C 1.63
C 0.2550 0.2550 0.2550  1 C 1.55, 3 B 1.68
C 0.2123 0.2123 0.2123  3 B 1.55, 1 C 1.55
B 0.7770 0.7770 0.7770  3 C 1.54
B 0.3930 0.3930 0.3930  4 C 1.67-1.68
B 0.6074 0.6074 0.6074  4 C 1.59-1.68
B 0.8734 0.8734 0.8734  3 C 1.55

Summary:
**Raw total energy**: -79.1 eV for the cell shown
**DOS at the Fermi energy**: 0.213 states/eV/atom
**Space-group type**: R3m (160)

=====

Number 1: magnetization 0.00 μB/atom. Number 2: magnetization 0.11 μB/atom. Number 3: magnetization 0.00 μB/atom. Number 4: magnetization 0.00 μB/atom. Number 5: magnetization 0.00 μB/atom. Number 6: magnetization 0.00 μB/atom. Number 7: magnetization 0.00 μB/atom. Number 8: magnetization 1.93 μB/atom. Number 9: magnetization 0.00 μB/atom. Number 10: magnetization 0.00 μB/atom. Number 11: magnetization 0.00 μB/atom.